1.
NaScPd3: optimized geometry, PBE-GGA.

abc: 4.866 4.866 4.866
angles: 90.00 90.00 90.00
Sites, in units of the cell vectors:
Na1 0.000 0.000 0.000
Sc1 0.500 0.500 0.500
Pd1 0.000 0.500 0.500
Pd2 0.500 0.000 0.500
Pd3 0.500 0.500 0.000

Summary:
Size of the total moment   0.000 μB/atom
SG   Pm-3m, No. 221
Total energy   -4.54 eV per atom

2.
Na2ScPd: optimized geometry, PBE-GGA.

abc: 7.011 7.011 7.011
angles: 90.00 90.00 90.00
Sites, in units of the cell vectors:
Na1 0.250 0.250 0.250
Na2 0.250 0.250 0.750
Na3 0.250 0.750 0.250
Na4 0.250 0.750 0.750
Na5 0.750 0.250 0.250
Na6 0.750 0.250 0.750
Na7 0.750 0.750 0.250
Na8 0.750 0.750 0.750
Sc1 0.000 0.000 0.000
Sc2 0.000 0.500 0.500
Sc3 0.500 0.000 0.500
Sc4 0.500 0.500 0.000
Pd1 0.000 0.000 0.500
Pd2 0.000 0.500 0.000
Pd3 0.500 0.000 0.000
Pd4 0.500 0.500 0.500

Summary:
Size of the total moment   0.113 μB/atom
SG   Fm-3m, No. 225
Total energy   -3.25 eV per atom

3.
Na2ScPd2: optimized geometry, PBE-GGA.

abc: 3.703 3.703 14.569
angles: 90.00 90.00 90.00
Sites, in units of the cell vectors:
Na1 0.000 0.500 0.250
Na2 0.000 0.500 0.750
Na3 0.500 0.000 0.250
Na4 0.500 0.000 0.750
Sc1 0.000 0.000 0.000
Sc2 0.500 0.500 0.500
Pd1 0.000 0.000 0.409
Pd2 0.000 0.000 0.591
Pd3 0.500 0.500 0.091
Pd4 0.500 0.500 0.909

Summary:
Size of the total moment   0.000 μB/atom
SG   I4/mmm, No. 139
Total energy   -4.06 eV per atom

4.
NaSc3Pd: optimized geometry, PBE-GGA.

abc: 5.036 5.036 5.036
angles: 90.00 90.00 90.00
Sites, in units of the cell vectors:
Na1 0.000 0.000 0.000
Sc1 0.000 0.000 0.500
Sc2 0.000 0.500 0.000
Sc3 0.500 0.000 0.000
Pd1 0.500 0.500 0.500

Summary:
Size of the total moment   0.559 μB/atom
SG   Pm-3m, No. 221
Total energy   -4.02 eV per atom

Number 1: formation enthalpy at 0 K 0.111 eV/atom, energy relative to the lowest polymorph listed for this composition 0 meV/atom. Number 2: formation enthalpy at 0 K 0.288 eV/atom, energy relative to the lowest polymorph listed for this composition 271 meV/atom. Number 3: formation enthalpy at 0 K -0.189 eV/atom, energy relative to the lowest polymorph listed for this composition 0 meV/atom. Number 4: formation enthalpy at 0 K 1.079 eV/atom, energy relative to the lowest polymorph listed for this composition 1073 meV/atom.